1.
A plane-wave DFT calculation with PBE was carried out for a relaxed LiHo2AgS4 crystal.

a = 6.612 Å, b = 3.954 Å, c = 6.831 Å
α = 90.00°, β = 110.00°, γ = 90.00°
Space group P2/m (No. 10)
Asymmetric unit:
Li 0.000 0.000 0.000 x1
Ho 0.500 0.000 0.500 x1
Ho 0.500 0.500 0.000 x1
Ag 0.000 0.500 0.500 x1
S 0.257 0.500 0.249 x2
S 0.258 0.000 0.757 x2

Results
formation energy from raw total energies	-12.53	eV per formula unit


2.
A plane-wave DFT calculation with PBE was carried out for a relaxed Er3Ga7Co2 crystal.

a = 4.105 Å, b = 3.871 Å, c = 13.994 Å
α = 90.00°, β = 98.41°, γ = 90.00°
Space group P2/m (No. 10)
Asymmetric unit:
Er 0.000 0.000 0.000 x1
Er 0.176 0.000 0.349 x2
Ga 0.088 0.500 0.173 x2
Ga 0.276 0.500 0.552 x2
Ga 0.414 0.000 0.831 x2
Ga 0.500 0.500 0.000 x1
Co 0.360 0.500 0.721 x2

Results
offset from the most stable computed form	0.000	eV/atom
formation energy	-0.44	eV per atom


3.
A plane-wave DFT calculation with PBE was carried out for a relaxed NaCa2Zn crystal.

a = 5.432 Å, b = 5.432 Å, c = 4.116 Å
α = 90.00°, β = 90.00°, γ = 90.00°
Space group P4/mmm (No. 123)
Asymmetric unit:
Na 0.000 0.000 0.000 x1
Ca 0.000 0.500 0.500 x2
Zn 0.500 0.500 0.000 x1

Results
offset from the most stable computed form	0.106	eV/atom
formation energy	0.00	eV per atom


4.
A plane-wave DFT calculation with PBE was carried out for a relaxed KSr2Ca2 crystal.

a = 11.401 Å, b = 11.401 Å, c = 4.238 Å
α = 90.00°, β = 90.00°, γ = 90.00°
Space group P4/mbm (No. 127)
Asymmetric unit:
K 0.000 0.000 0.000 x2
Sr 0.176 0.324 0.500 x4
Ca 0.116 0.616 0.000 x4

Results
offset from the most stable computed form	0.000	eV/atom
formation energy	0.13	eV per atom


5.
A plane-wave DFT calculation with PBE was carried out for a relaxed Be2CdS crystal.

a = 5.759 Å, b = 5.759 Å, c = 8.076 Å
α = 90.00°, β = 90.00°, γ = 90.00°
Space group I-42d (No. 122)
Asymmetric unit:
Be 0.184 0.250 0.125 x8
Cd 0.000 0.000 0.500 x4
S 0.000 0.000 0.000 x4

Results
formation energy from raw total energies	0.07	eV per formula unit
offset from the most stable computed form	0.000	eV/atom


6.
A plane-wave DFT calculation with PBE was carried out for a relaxed TiOsPt2Cl crystal.

a = 4.884 Å, b = 4.884 Å, c = 4.522 Å
α = 90.00°, β = 90.00°, γ = 90.00°
Space group P4/mmm (No. 123)
Asymmetric unit:
Ti 0.000 0.000 0.000 x1
Os 0.500 0.500 0.500 x1
Pt 0.000 0.500 0.500 x2
Cl 0.500 0.500 0.000 x1

Results
formation energy from raw total energies	5.38	eV per formula unit


7.
A plane-wave DFT calculation with PBE was carried out for a relaxed BiRhSCl2 crystal.

a = 5.352 Å, b = 5.352 Å, c = 5.408 Å
α = 90.00°, β = 90.00°, γ = 90.00°
Space group P4/mmm (No. 123)
Asymmetric unit:
Bi 0.000 0.000 0.000 x1
Rh 0.500 0.500 0.500 x1
S 0.000 0.000 0.500 x1
Cl 0.000 0.500 0.000 x2

Results
formation energy from raw total energies	2.21	eV per formula unit
offset from the most stable computed form	0.510	eV/atom


8.
A plane-wave DFT calculation with PBE was carried out for a relaxed TlAsRh2 crystal.

a = 3.1930 Å, b = 3.1930 Å, c = 23.7336 Å
α = 90.00°, β = 90.00°, γ = 120.00°
Space group R-3m (No. 166, hexagonal axes)
Asymmetric unit:
Tl 0.0000 0.0000 0.0000 x3
As 0.0000 0.0000 0.5000 x3
Rh 0.0000 0.0000 0.2378 x6

Results
formation energy	-0.08	eV per atom


| no. | V (Å³/cell) | DOS(E_F) (states/eV/f.u.) |
| --- | --- | --- |
| 1 | 167.8 | 0.0 |
| 2 | 220.0 | 8.2 |
| 3 | 121.4 | 4.4 |
| 4 | 550.9 | 4.5 |
| 5 | 267.9 | 0.0 |
| 6 | 107.9 | 9.5 |
| 7 | 154.9 | 1.4 |
| 8 | 209.6 | 1.6 |